1.
This record from Alexandria describes a geometry-optimized LaFe2Hg structure. The functional is PBE-GGA.

Cell: 4.413 3.939 5.296 Å, 90.33 90.00 90.00°
Fractional coordinates of all 4 atoms:
1 Hg 0.500 0.250 0.250
2 Fe 0.000 0.261 0.960
3 Fe 0.000 0.239 0.540
4 La 0.500 0.750 0.750

Output
The value obtained for the uncorrected energy is -5.1701 eV per atom. The density of states at the Fermi level is 5.875 states/eV/f.u. The calculation puts the calculated volume at 23.0 Å³/atom. Its symmetry is P2/m. As for the energy relative to the elements: 8.50 kcal/mol of atoms.

2.
This record from Alexandria describes a geometry-optimized Nd3Cu7Ge4 structure. The functional is PBE-GGA.

Cell: 4.248 8.094 8.065 Å, 68.89 74.73 74.78°
Fractional coordinates of all 14 atoms:
1 Ge 0.342 0.528 0.788
2 Nd 0.304 0.200 0.192
3 Cu 0.861 0.369 0.909
4 Cu 0.139 0.631 0.091
5 Ge 0.875 0.910 0.340
6 Cu 0.000 0.000 0.000
7 Ge 0.125 0.090 0.660
8 Ge 0.658 0.472 0.212
9 Cu 0.667 0.185 0.482
10 Cu 0.502 0.798 0.197
11 Cu 0.498 0.202 0.803
12 Cu 0.333 0.815 0.518
13 Nd 0.696 0.800 0.808
14 Nd 0.000 0.500 0.500

Output
The value obtained for the uncorrected energy is -4.8112 eV per atom. The density of states at the Fermi level is 5.865 states/eV/f.u. The calculation puts the calculated volume at 17.5 Å³/atom. Its symmetry is C2/m. As for the energy relative to the elements: -9.74 kcal/mol of atoms.

3.
This record from Alexandria describes a geometry-optimized Ce2PmGa2Pt7 structure. The functional is PBE-GGA.

Cell: 4.120 4.120 14.208 Å, 83.67 83.67 89.26°
Fractional coordinates of all 12 atoms:
1 Ga 0.597 0.597 0.744
2 Pt 0.059 0.559 0.844
3 Pt 0.367 0.367 0.431
4 Pt 0.633 0.633 0.569
5 Pt 0.500 0.500 0.000
6 Ce 0.121 0.121 0.642
7 Pm 0.000 0.000 0.000
8 Pt 0.941 0.441 0.156
9 Pt 0.441 0.941 0.156
10 Ce 0.879 0.879 0.358
11 Ga 0.403 0.403 0.256
12 Pt 0.559 0.059 0.844

Output
The value obtained for the uncorrected energy is -6.3324 eV per atom. The density of states at the Fermi level is 14.720 states/eV/f.u. The calculation puts the calculated volume at 19.9 Å³/atom. Its symmetry is C2/m. As for the energy relative to the elements: -21.20 kcal/mol of atoms.

4.
This record from Alexandria describes a geometry-optimized YFeTe2 structure. The functional is PBE-GGA.

Cell: 3.794 3.930 7.225 Å, 72.64 90.00 90.00°
Fractional coordinates of all 4 atoms:
1 Te 0.000 0.647 0.506
2 Fe 0.500 0.750 0.750
3 Te 0.000 0.853 0.994
4 Y 0.500 0.250 0.250

Output
The value obtained for the uncorrected energy is -5.6998 eV per atom. The density of states at the Fermi level is 3.943 states/eV/f.u. The calculation puts the calculated volume at 25.7 Å³/atom. Its symmetry is P2/m. For the formation energy (no corrections), the calculation gives -1.6 eV per formula unit.

Copy entry 2 word for word.
This record from Alexandria describes a geometry-optimized Nd3Cu7Ge4 structure. The functional is PBE-GGA.

Cell: 4.248 8.094 8.065 Å, 68.89 74.73 74.78°
Fractional coordinates of all 14 atoms:
1 Ge 0.342 0.528 0.788
2 Nd 0.304 0.200 0.192
3 Cu 0.861 0.369 0.909
4 Cu 0.139 0.631 0.091
5 Ge 0.875 0.910 0.340
6 Cu 0.000 0.000 0.000
7 Ge 0.125 0.090 0.660
8 Ge 0.658 0.472 0.212
9 Cu 0.667 0.185 0.482
10 Cu 0.502 0.798 0.197
11 Cu 0.498 0.202 0.803
12 Cu 0.333 0.815 0.518
13 Nd 0.696 0.800 0.808
14 Nd 0.000 0.500 0.500

Output
The value obtained for the uncorrected energy is -4.8112 eV per atom. The density of states at the Fermi level is 5.865 states/eV/f.u. The calculation puts the calculated volume at 17.5 Å³/atom. Its symmetry is C2/m. As for the energy relative to the elements: -9.74 kcal/mol of atoms.